(1)
# NdPaGe2O8

NdPaGe2O8 after structural relaxation (PBE, Alexandria).

Structure (CIF):
```
data_NdPaGe2O8
_cell_length_a 7.1999
_cell_length_b 7.1999
_cell_length_c 6.5011
_cell_angle_alpha 90.00
_cell_angle_beta 90.00
_cell_angle_gamma 90.00
_space_group_name_H-M_alt 'I -4 m 2'
_space_group_IT_number 119
_space_group_name_Hall 'I -4 -2'
loop_
_atom_site_label
_atom_site_type_symbol
_atom_site_fract_x
_atom_site_fract_y
_atom_site_fract_z
Nd1 Nd 0.0000 0.0000 0.0000
Pa1 Pa 0.0000 0.5000 0.2500
Ge1 Ge 0.0000 0.0000 0.5000
Ge2 Ge 0.0000 0.5000 0.7500
O1 O 0.0000 0.1906 0.3254
O2 O 0.0000 0.3240 0.9399
```

(2)
# Pm2Nd4Ge3O2

Pm2Nd4Ge3O2 after structural relaxation (PBE, Alexandria).

Structure (CIF):
```
data_Pm2Nd4Ge3O2
_cell_length_a 4.7189
_cell_length_b 4.7189
_cell_length_c 24.5926
_cell_angle_alpha 90.00
_cell_angle_beta 90.00
_cell_angle_gamma 90.00
_space_group_name_H-M_alt 'I 4/m m m'
_space_group_IT_number 139
_space_group_name_Hall '-I 4 2'
loop_
_atom_site_label
_atom_site_type_symbol
_atom_site_fract_x
_atom_site_fract_y
_atom_site_fract_z
Pm1 Pm 0.0000 0.0000 0.1988
Nd1 Nd 0.0000 0.5000 0.0801
Ge1 Ge 0.0000 0.0000 0.3239
Ge2 Ge 0.0000 0.0000 0.5000
O1 O 0.0000 0.0000 0.1031
```

(3)
# Pr4Nd2Ge3O2

Pr4Nd2Ge3O2 after structural relaxation (PBE, Alexandria).

Structure (CIF):
```
data_Pr4Nd2Ge3O2
_cell_length_a 4.7612
_cell_length_b 4.7612
_cell_length_c 24.8133
_cell_angle_alpha 90.00
_cell_angle_beta 90.00
_cell_angle_gamma 90.00
_space_group_name_H-M_alt 'I 4/m m m'
_space_group_IT_number 139
_space_group_name_Hall '-I 4 2'
loop_
_atom_site_label
_atom_site_type_symbol
_atom_site_fract_x
_atom_site_fract_y
_atom_site_fract_z
Pr1 Pr 0.0000 0.5000 0.0800
Nd1 Nd 0.0000 0.0000 0.1990
Ge1 Ge 0.0000 0.0000 0.3240
Ge2 Ge 0.0000 0.0000 0.5000
O1 O 0.0000 0.0000 0.1034
```

| no. | uncorrected energy (eV/atom) | Fermi-level density of states (states/eV/f.u.) | formation energy from raw total energies (meV per atom) |
| --- | --- | --- | --- |
| 1 | -7.897 | 0.00 | -2633 |
| 2 | -6.236 | 6.06 | -1478 |
| 3 | -6.218 | 6.09 | -1452 |